<i>
# NaAg6 PBE-GGA optimized geometry
# spin magnetization: 0.0000 μB/atom
data_NaAg6
_cell_length_a 7.5328
_cell_length_b 7.5328
_cell_length_c 7.5328
_cell_angle_alpha 90.00
_cell_angle_beta 90.00
_cell_angle_gamma 90.00
_symmetry_space_group_name_H-M 'I m -3 m'
_symmetry_Int_Tables_number 229
_symmetry_space_group_name_Hall '-I 4 2 3'
loop_
_atom_site_label
_atom_site_fract_x
_atom_site_fract_y
_atom_site_fract_z
_atom_site_occupancy
Na1 0.0000 0.0000 0.0000 1
Ag1 0.0000 0.2500 0.5000 1

<ii>
# NaAg6 PBE-GGA optimized geometry
# spin magnetization: 0.0000 μB/atom
data_NaAg6
_cell_length_a 9.1027
_cell_length_b 5.5975
_cell_length_c 11.2563
_cell_angle_alpha 90.00
_cell_angle_beta 90.00
_cell_angle_gamma 90.00
_symmetry_space_group_name_H-M 'P n m a'
_symmetry_Int_Tables_number 62
_symmetry_space_group_name_Hall '-P 2ac 2n'
loop_
_atom_site_label
_atom_site_fract_x
_atom_site_fract_y
_atom_site_fract_z
_atom_site_occupancy
Na1 0.2419 0.2500 0.0641 1
Ag1 0.0583 0.0062 0.3082 1
Ag2 0.0629 0.7500 0.0848 1
Ag3 0.1159 0.2500 0.5208 1
Ag4 0.1519 0.7500 0.8470 1
Ag5 0.1883 0.2500 0.7664 1

Which structure wins on stability? <ii> wins.

<i>
# Na13Ag2 PBE-GGA optimized geometry
# spin magnetization: 0.0000 μB/atom
data_Na13Ag2
_cell_length_a 9.2829
_cell_length_b 9.2829
_cell_length_c 20.5263
_cell_angle_alpha 90.00
_cell_angle_beta 90.00
_cell_angle_gamma 120.00
_symmetry_space_group_name_H-M 'R -3 m'
_symmetry_Int_Tables_number 166
_symmetry_space_group_name_Hall '-R 3 2"'
loop_
_atom_site_label
_atom_site_fract_x
_atom_site_fract_y
_atom_site_fract_z
_atom_site_occupancy
Na1 0.0000 0.0000 0.0000 1
Na2 0.0689 0.5344 0.2367 1
Na3 0.0792 0.5396 0.4158 1
Ag1 0.0000 0.0000 0.1397 1

<ii>
# Na13Ag2 PBE-GGA optimized geometry
# spin magnetization: 0.0000 μB/atom
data_Na13Ag2
_cell_length_a 7.1838
_cell_length_b 8.2276
_cell_length_c 9.4730
_cell_angle_alpha 65.73
_cell_angle_beta 88.82
_cell_angle_gamma 78.68
_symmetry_space_group_name_H-M 'P -1'
_symmetry_Int_Tables_number 2
_symmetry_space_group_name_Hall '-P 1'
loop_
_atom_site_label
_atom_site_fract_x
_atom_site_fract_y
_atom_site_fract_z
_atom_site_occupancy
Na1 0.0000 0.0000 0.0000 1
Na2 0.0485 0.5621 0.6461 1
Na3 0.1710 0.0110 0.6500 1
Na4 0.2355 0.5833 0.0174 1
Na5 0.2905 0.0975 0.2524 1
Na6 0.4254 0.2264 0.8588 1
Na7 0.4829 0.3384 0.4321 1
Ag1 0.2017 0.7206 0.3101 1

Which structure wins on stability? <ii> wins.